(1)
## TlHgPb5 (PBE-GGA)

Data for crystalline TlHgPb5 at its relaxed geometry.

Cell: 5.061 5.061 8.723 Å, 90.00 90.00 90.00°
Sites, in units of the cell vectors:
Tl 0.000 0.000 0.000
Hg 0.000 0.000 0.500
Pb 0.000 0.500 0.279
Pb 0.000 0.500 0.721
Pb 0.500 0.000 0.279
Pb 0.500 0.000 0.721
Pb 0.500 0.500 0.000

Magnetic moment (μB per formula unit): 0.000
DOS at the Fermi energy (states/eV/atom): 0.38
DFT formation energy (kcal/mol of atoms): 0.91

(2)
## Tl5Hg2Pb5 (PBE-GGA)

Data for crystalline Tl5Hg2Pb5 at its relaxed geometry.

Cell: 5.632 8.459 8.545 Å, 83.53 70.91 70.62°
Sites, in units of the cell vectors:
Tl 0.000 0.000 0.000
Tl 0.255 0.914 0.576
Tl 0.258 0.573 0.911
Tl 0.742 0.427 0.089
Tl 0.745 0.086 0.424
Hg 0.499 0.837 0.165
Hg 0.501 0.163 0.835
Pb 0.001 0.668 0.329
Pb 0.256 0.246 0.244
Pb 0.500 0.500 0.500
Pb 0.744 0.754 0.756
Pb 0.999 0.332 0.671

Magnetic moment (μB per formula unit): 0.000
DOS at the Fermi energy (states/eV/atom): 0.46
DFT formation energy (kcal/mol of atoms): 0.34

(3)
## TlHg4Pb4 (PBE-GGA)

Data for crystalline TlHg4Pb4 at its relaxed geometry.

Cell: 8.474 8.474 8.474 Å, 92.93 92.93 153.86°
Sites, in units of the cell vectors:
Tl 0.000 0.000 0.000
Hg 0.330 0.330 0.661
Hg 0.330 0.670 0.000
Hg 0.670 0.330 0.000
Hg 0.670 0.670 0.339
Pb 0.000 0.327 0.327
Pb 0.000 0.673 0.673
Pb 0.327 0.000 0.327
Pb 0.673 0.000 0.673

Magnetic moment (μB per formula unit): 0.000
DOS at the Fermi energy (states/eV/atom): 0.45
Offset from the most stable computed form (kJ per mole of atoms): 0.0
DFT formation energy (kcal/mol of atoms): 0.24

(4)
## TlZnHgPb2 (PBE-GGA)

Data for crystalline TlZnHgPb2 at its relaxed geometry.

Cell: 5.513 5.513 5.165 Å, 90.00 90.00 90.00°
Sites, in units of the cell vectors:
Tl 0.000 0.000 0.000
Zn 0.500 0.500 0.500
Hg 0.500 0.500 0.000
Pb 0.000 0.500 0.500
Pb 0.500 0.000 0.500

Magnetic moment (μB per formula unit): 0.000
DOS at the Fermi energy (states/eV/atom): 0.46
DFT formation energy (kcal/mol of atoms): 4.88

(5)
## TlZnHg2Pb (PBE-GGA)

Data for crystalline TlZnHg2Pb at its relaxed geometry.

Cell: 5.249 5.249 5.457 Å, 90.00 90.00 90.00°
Sites, in units of the cell vectors:
Tl 0.000 0.000 0.000
Zn 0.500 0.500 0.500
Hg 0.000 0.500 0.500
Hg 0.500 0.000 0.500
Pb 0.500 0.500 0.000

Magnetic moment (μB per formula unit): 0.000
DOS at the Fermi energy (states/eV/atom): 0.58
DFT formation energy (kcal/mol of atoms): 3.79

(6)
## Tm2Hg5Pb (PBE-GGA)

Data for crystalline Tm2Hg5Pb at its relaxed geometry.

Cell: 6.604 13.194 4.492 Å, 90.00 90.00 90.00°
Sites, in units of the cell vectors:
Tm 0.237 0.123 0.000
Tm 0.263 0.623 0.000
Tm 0.737 0.377 0.000
Tm 0.763 0.877 0.000
Hg 0.000 0.500 0.500
Hg 0.022 0.747 0.500
Hg 0.232 0.369 0.000
Hg 0.268 0.869 0.000
Hg 0.478 0.247 0.500
Hg 0.500 0.000 0.500
Hg 0.522 0.753 0.500
Hg 0.732 0.131 0.000
Hg 0.768 0.631 0.000
Hg 0.978 0.253 0.500
Pb 0.000 0.000 0.500
Pb 0.500 0.500 0.500

Magnetic moment (μB per formula unit): 0.000
DOS at the Fermi energy (states/eV/atom): 0.65
DFT formation energy (kcal/mol of atoms): -6.53

(7)
## TmHgPb2 (PBE-GGA)

Data for crystalline TmHgPb2 at its relaxed geometry.

Cell: 4.061 4.061 6.802 Å, 90.00 90.00 90.00°
Sites, in units of the cell vectors:
Tm 0.000 0.000 0.000
Hg 0.000 0.000 0.500
Pb 0.500 0.500 0.247
Pb 0.500 0.500 0.753

Magnetic moment (μB per formula unit): 0.000
DOS at the Fermi energy (states/eV/atom): 0.57
DFT formation energy (kcal/mol of atoms): -3.33

(8)
## Tm5HgPb4 (PBE-GGA)

Data for crystalline Tm5HgPb4 at its relaxed geometry.

Cell: 7.540 7.540 7.540 Å, 99.89 99.89 131.03°
Sites, in units of the cell vectors:
Tm 0.000 0.000 0.000
Tm 0.026 0.431 0.783
Tm 0.243 0.026 0.595
Tm 0.431 0.648 0.405
Tm 0.648 0.243 0.217
Hg 0.495 0.495 0.000
Pb 0.118 0.730 0.182
Pb 0.549 0.937 0.818
Pb 0.730 0.549 0.612
Pb 0.937 0.118 0.388

Magnetic moment (μB per formula unit): 0.000
DOS at the Fermi energy (states/eV/atom): 0.65
DFT formation energy (kcal/mol of atoms): -6.37

(9)
## TmHgPb3 (PBE-GGA)

Data for crystalline TmHgPb3 at its relaxed geometry.

Cell: 3.643 9.435 9.107 Å, 90.00 95.82 90.00°
Sites, in units of the cell vectors:
Tm 0.001 0.250 0.007
Tm 0.999 0.750 0.993
Hg 0.190 0.250 0.354
Hg 0.810 0.750 0.646
Pb 0.286 0.750 0.359
Pb 0.396 0.504 0.821
Pb 0.396 0.996 0.821
Pb 0.604 0.004 0.179
Pb 0.604 0.496 0.179
Pb 0.714 0.250 0.641

Magnetic moment (μB per formula unit): 0.000
DOS at the Fermi energy (states/eV/atom): 0.52
Offset from the most stable computed form (kJ per mole of atoms): 0.0
DFT formation energy (kcal/mol of atoms): -2.25

(10)
## Tm3Hg2Pb2 (PBE-GGA)

Data for crystalline Tm3Hg2Pb2 at its relaxed geometry.

Cell: 4.635 5.546 8.811 Å, 94.59 105.10 114.59°
Sites, in units of the cell vectors:
Tm 0.000 0.000 0.000
Tm 0.431 0.156 0.705
Tm 0.569 0.844 0.295
Hg 0.309 0.254 0.367
Hg 0.691 0.746 0.633
Pb 0.218 0.578 0.857
Pb 0.782 0.422 0.143

Magnetic moment (μB per formula unit): 0.000
DOS at the Fermi energy (states/eV/atom): 0.59
DFT formation energy (kcal/mol of atoms): -7.90

(11)
## Tm5HgPb (PBE-GGA)

Data for crystalline Tm5HgPb at its relaxed geometry.

Cell: 6.041 6.041 11.191 Å, 98.62 98.62 90.38°
Sites, in units of the cell vectors:
Tm 0.017 0.576 0.153
Tm 0.110 0.890 0.750
Tm 0.239 0.526 0.467
Tm 0.424 0.983 0.347
Tm 0.474 0.761 0.033
Tm 0.526 0.239 0.967
Tm 0.576 0.017 0.653
Tm 0.761 0.474 0.533
Tm 0.890 0.110 0.250
Tm 0.983 0.424 0.847
Hg 0.000 0.000 0.000
Hg 0.000 0.000 0.500
Pb 0.469 0.531 0.750
Pb 0.531 0.469 0.250

Magnetic moment (μB per formula unit): 0.000
DOS at the Fermi energy (states/eV/atom): 1.00
DFT formation energy (kcal/mol of atoms): -2.65

(12)
## Tm6Hg8Pb (PBE-GGA)

Data for crystalline Tm6Hg8Pb at its relaxed geometry.

Cell: 8.001 8.001 8.001 Å, 65.55 65.55 65.55°
Sites, in units of the cell vectors:
Tm 0.112 0.814 0.383
Tm 0.186 0.617 0.888
Tm 0.383 0.112 0.814
Tm 0.617 0.888 0.186
Tm 0.814 0.383 0.112
Tm 0.888 0.186 0.617
Hg 0.046 0.428 0.688
Hg 0.198 0.198 0.198
Hg 0.312 0.954 0.572
Hg 0.428 0.688 0.046
Hg 0.572 0.312 0.954
Hg 0.688 0.046 0.428
Hg 0.802 0.802 0.802
Hg 0.954 0.572 0.312
Pb 0.500 0.500 0.500

Magnetic moment (μB per formula unit): 0.000
DOS at the Fermi energy (states/eV/atom): 0.58
DFT formation energy (kcal/mol of atoms): -7.33